No. 1
# PBE PaAlRu, optimized geometry
data_PaAlRu
_chemical_formula_sum 'Pa1 Al1 Ru1'
_cell_length_a 4.4963
_cell_length_b 4.4963
_cell_length_c 3.2681
_cell_angle_alpha 90.00
_cell_angle_beta 90.00
_cell_angle_gamma 120.00
_symmetry_space_group_name_H-M 'P -6 m 2'
_symmetry_Int_Tables_number 187
_symmetry_space_group_name_Hall 'P -6 2'
loop_
_atom_site_label
_atom_site_type_symbol
_atom_site_fract_x
_atom_site_fract_y
_atom_site_fract_z
Pa1 Pa 0.0000 0.0000 0.0000
Al1 Al 0.3333 0.6667 0.5000
Ru1 Ru 0.6667 0.3333 0.5000
# D(E_F): 3.23 states/eV/cell
# ρ: 10.42 g/cm³
# energy of formation from the pure elements: -0.39 eV per atom

No. 2
# PBE RbMg2Pd, optimized geometry
data_RbMg2Pd
_chemical_formula_sum 'Rb4 Mg8 Pd4'
_cell_length_a 7.4007
_cell_length_b 7.4007
_cell_length_c 7.4007
_cell_angle_alpha 90.00
_cell_angle_beta 90.00
_cell_angle_gamma 90.00
_symmetry_space_group_name_H-M 'F m -3 m'
_symmetry_Int_Tables_number 225
_symmetry_space_group_name_Hall '-F 4 2 3'
loop_
_atom_site_label
_atom_site_type_symbol
_atom_site_fract_x
_atom_site_fract_y
_atom_site_fract_z
Rb1 Rb 0.0000 0.0000 0.0000
Mg1 Mg 0.2500 0.2500 0.2500
Pd1 Pd 0.0000 0.0000 0.5000
# D(E_F): 6.54 states/eV/cell
# ρ: 3.94 g/cm³
# energy of formation from the pure elements: 0.21 eV per atom

No. 3
# PBE Ca2NiPt, optimized geometry
data_Ca2NiPt
_chemical_formula_sum 'Ca2 Ni1 Pt1'
_cell_length_a 3.5481
_cell_length_b 4.8420
_cell_length_c 4.8474
_cell_angle_alpha 90.00
_cell_angle_beta 90.00
_cell_angle_gamma 90.00
_symmetry_space_group_name_H-M 'P m m 2'
_symmetry_Int_Tables_number 25
loop_
_symmetry_equiv_pos_as_xyz
'x,y,z'
'-x,-y,z'
'-x,y,z'
'x,-y,z'
loop_
_atom_site_label
_atom_site_type_symbol
_atom_site_fract_x
_atom_site_fract_y
_atom_site_fract_z
Ca1 Ca 0.0000 0.0000 0.0000
Ca2 Ca 0.0000 0.5000 0.4942
Ni1 Ni 0.5000 0.5000 0.9879
Pt1 Pt 0.5000 0.0000 0.5028
# D(E_F): 2.62 states/eV/cell
# ρ: 6.66 g/cm³
# energy of formation from the pure elements: -0.43 eV per atom

No. 4
# PBE PrNiMo, optimized geometry
data_PrNiMo
_chemical_formula_sum 'Pr4 Ni4 Mo4'
_cell_length_a 4.7802
_cell_length_b 4.7877
_cell_length_c 10.4014
_cell_angle_alpha 90.00
_cell_angle_beta 90.00
_cell_angle_gamma 90.00
_symmetry_space_group_name_H-M 'C m m m'
_symmetry_Int_Tables_number 65
_symmetry_space_group_name_Hall '-C 2 2'
loop_
_atom_site_label
_atom_site_type_symbol
_atom_site_fract_x
_atom_site_fract_y
_atom_site_fract_z
Pr1 Pr 0.0000 0.0000 0.1738
Ni1 Ni 0.0000 0.0000 0.5000
Ni2 Ni 0.0000 0.5000 0.0000
Mo1 Mo 0.0000 0.5000 0.3902
# D(E_F): 15.29 states/eV/cell
# ρ: 8.25 g/cm³
# energy of formation from the pure elements: 0.22 eV per atom

No. 5
# PBE SnBiI2, optimized geometry
data_SnBiI2
_chemical_formula_sum 'Sn1 Bi1 I2'
_cell_length_a 3.8435
_cell_length_b 3.8695
_cell_length_c 11.1128
_cell_angle_alpha 86.83
_cell_angle_beta 86.21
_cell_angle_gamma 62.45
_symmetry_space_group_name_H-M 'P 1'
_symmetry_Int_Tables_number 1
loop_
_symmetry_equiv_pos_as_xyz
'x,y,z'
loop_
_atom_site_label
_atom_site_type_symbol
_atom_site_fract_x
_atom_site_fract_y
_atom_site_fract_z
Sn1 Sn 0.0000 0.0000 0.0000
Bi1 Bi 0.5017 0.5023 0.4999
I1 I 0.4304 0.4207 0.7779
I2 I 0.5736 0.5828 0.2219
# D(E_F): 1.72 states/eV/cell
# ρ: 6.61 g/cm³
# E_form (uncorrected): -0.01 eV/atom

No. 6
# PBE AcYPt, optimized geometry
data_AcYPt
_chemical_formula_sum 'Ac4 Y4 Pt4'
_cell_length_a 8.8501
_cell_length_b 6.5913
_cell_length_c 6.5598
_cell_angle_alpha 90.00
_cell_angle_beta 111.67
_cell_angle_gamma 90.00
_symmetry_space_group_name_H-M 'P 1 21/c 1'
_symmetry_Int_Tables_number 14
loop_
_symmetry_equiv_pos_as_xyz
'x,y,z'
'-x,-y,-z'
'-x,y+1/2,-z+1/2'
'x,-y+1/2,z+1/2'
loop_
_atom_site_label
_atom_site_type_symbol
_atom_site_fract_x
_atom_site_fract_y
_atom_site_fract_z
Ac1 Ac 0.1448 0.0019 0.3223
Y1 Y 0.4990 0.6889 0.6920
Pt1 Pt 0.2297 0.5008 0.3626
# D(E_F): 11.40 states/eV/cell
# ρ: 9.54 g/cm³
# energy of formation from the pure elements: -0.83 eV per atom